Entry 1:
DFT (PBE) results for MgIn3Sn after structural relaxation.

Values from the calculation:
Space group: No. 14
Energy above the lowest structure with this stoichiometry in meV/atom: 0

a = 7.783 Å, b = 9.179 Å, c = 7.246 Å
α = 90.00°, β = 88.65°, γ = 90.00°
Sites, in units of the cell vectors:
In 0.351 0.620 0.451
In 0.851 0.880 0.951
In 0.242 0.375 0.755
In 0.048 0.872 0.357
In 0.649 0.380 0.549
In 0.548 0.628 0.857
In 0.758 0.625 0.245
In 0.258 0.875 0.745
In 0.149 0.120 0.049
In 0.742 0.125 0.255
In 0.952 0.128 0.643
In 0.452 0.372 0.143
Sn 0.053 0.379 0.332
Sn 0.447 0.879 0.168
Sn 0.553 0.121 0.832
Sn 0.947 0.621 0.668
Mg 0.656 0.868 0.549
Mg 0.156 0.632 0.049
Mg 0.344 0.132 0.451
Mg 0.844 0.368 0.951

Entry 2:
DFT (PBE) results for LaZr2Zn after structural relaxation.

Values from the calculation:
Space group: No. 166

a = 9.988 Å, b = 9.988 Å, c = 9.988 Å
α = 19.38°, β = 19.38°, γ = 19.38°
Sites, in units of the cell vectors:
Zn 0.750 0.750 0.750
Zr 0.010 0.010 0.010
Zr 0.490 0.490 0.490
La 0.250 0.250 0.250

Entry 3:
DFT (PBE) results for TbPmHo5Er2 after structural relaxation.

Values from the calculation:
Space group: No. 36

a = 5.577 Å, b = 10.252 Å, c = 10.519 Å
α = 90.00°, β = 90.00°, γ = 105.78°
Sites, in units of the cell vectors:
Tb 0.200 0.400 0.012
Tb 0.800 0.600 0.512
Ho 0.982 0.964 0.525
Ho 0.719 0.437 0.811
Ho 0.478 0.957 0.737
Ho 0.018 0.036 0.025
Ho 0.611 0.222 0.523
Ho 0.522 0.043 0.237
Ho 0.299 0.598 0.709
Ho 0.701 0.402 0.209
Ho 0.281 0.563 0.311
Ho 0.389 0.778 0.023
Er 0.886 0.773 0.819
Er 0.114 0.227 0.319
Er 0.890 0.779 0.236
Er 0.110 0.221 0.736
Pm 0.584 0.168 0.952
Pm 0.416 0.832 0.452

Entry 4:
DFT (PBE) results for TaInNiC after structural relaxation.

Values from the calculation:
Space group: No. 25
Energy above the lowest structure with this stoichiometry in meV/atom: 441

a = 3.024 Å, b = 4.247 Å, c = 5.187 Å
α = 90.00°, β = 90.00°, γ = 90.00°
Sites, in units of the cell vectors:
Ta 0.500 0.000 0.309
Ni 0.000 0.500 0.464
In 0.000 0.000 0.814
C 0.500 0.500 0.247

no.,energy of formation from the pure elements (eV/atom)
1,-0.02
2,0.11
3,0.16
4,0.35